6
Lattice="-1.3752 1.9223 3.2189 2.8082 -2.8109 0.4011 5.8470 5.7110 -0.9126" Properties=species:S:1:pos:R:3 comment="NdDySi2Ni2 | Alexandria | GGA-PBE | optimized geometry" energy_ev_per_cell=-36.29 space_group="P-3m1, No. 164" pbc="T T T"
Nd 0.0000 0.0000 0.0000
Dy 2.9235 2.8555 -0.4563
Si 4.3583 4.5827 1.6024
Si 2.9216 0.2397 1.1050
Ni 1.5499 1.8396 2.0408
Ni 5.7300 2.9827 0.6667